No. 1
A plane-wave DFT calculation with PBE was carried out for a relaxed structure of MgCuIr2.

a b c (Å): 6.1589 6.1589 6.1589
angles (deg): 90.00 90.00 90.00
Space group F-43m (No. 216)
Unique sites:
Mg 0.0000 0.0000 0.0000 x4
Cu 0.2500 0.2500 0.7500 x4
Ir 0.0000 0.0000 0.5000 x4
Ir 0.2500 0.2500 0.2500 x4

Computed properties:
ΔE_f, eV/atom: 0.04
N(E_F), states/eV/f.u.: 5.67
Crystal system: cubic



No. 2
A plane-wave DFT calculation with PBE was carried out for a relaxed structure of Mg6CuIr2.

a b c (Å): 4.5502 4.5502 8.4740
angles (deg): 90.00 90.00 120.00
Space group P-3m1 (No. 164)
Unique sites:
Mg 0.0000 0.0000 0.2018 x2
Mg 0.3333 0.6667 0.0670 x2
Mg 0.3333 0.6667 0.4081 x2
Cu 0.0000 0.0000 0.5000 x1
Ir 0.3333 0.6667 0.7416 x2

Computed properties:
ΔE_f, eV/atom: -0.25
N(E_F), states/eV/f.u.: 3.61
E above lowest polymorph, eV per atom: 0.000
Crystal system: trigonal



No. 3
A plane-wave DFT calculation with PBE was carried out for a relaxed structure of MgCuIr2.

a b c (Å): 3.8187 3.8187 7.9636
angles (deg): 90.00 90.00 90.00
Space group I4/mmm (No. 139)
Unique sites:
Mg 0.0000 0.0000 0.0000 x2
Cu 0.0000 0.0000 0.5000 x2
Ir 0.0000 0.5000 0.2500 x4

Computed properties:
ΔE_f, eV/atom: 0.01
N(E_F), states/eV/f.u.: 5.56
Crystal system: tetragonal



No. 4
A plane-wave DFT calculation with PBE was carried out for a relaxed structure of Mg3CuIr2.

a b c (Å): 4.3427 13.0832 3.2164
angles (deg): 90.00 90.00 90.00
Space group Cmmm (No. 65)
Unique sites:
Mg 0.0000 0.0000 0.0000 x2
Mg 0.0000 0.3282 0.0000 x4
Cu 0.0000 0.5000 0.5000 x2
Ir 0.0000 0.1604 0.5000 x4

Computed properties:
ΔE_f, eV/atom: -0.28
N(E_F), states/eV/f.u.: 1.40
Crystal system: orthorhombic



No. 5
A plane-wave DFT calculation with PBE was carried out for a relaxed structure of MgCuIr.

a b c (Å): 2.7834 3.8630 8.1408
angles (deg): 90.00 90.00 90.00
Space group Imm2 (No. 44)
Unique sites:
Mg 0.0000 0.0000 0.0000 x2
Cu 0.0000 0.0000 0.6747 x2
Ir 0.0000 0.0000 0.3311 x2

Computed properties:
ΔE_f, eV/atom: -0.08
N(E_F), states/eV/f.u.: 2.52
E above lowest polymorph, eV per atom: 0.132
Crystal system: orthorhombic



No. 6
A plane-wave DFT calculation with PBE was carried out for a relaxed structure of MgCuIr.

a b c (Å): 2.9736 4.5849 12.9898
angles (deg): 90.00 90.00 90.00
Space group Fmm2 (No. 42)
Unique sites:
Mg 0.0000 0.0000 0.0000 x4
Cu 0.0000 0.0000 0.3320 x4
Ir 0.0000 0.0000 0.6667 x4

Computed properties:
ΔE_f, eV/atom: 0.05
N(E_F), states/eV/f.u.: 2.51
E above lowest polymorph, eV per atom: 0.255
Crystal system: orthorhombic



No. 7
A plane-wave DFT calculation with PBE was carried out for a relaxed structure of Mg6CuIr5.

a b c (Å): 4.3309 6.4750 6.8554
angles (deg): 90.00 108.22 90.00
Space group P2/m (No. 10)
Unique sites:
Mg 0.0000 0.2494 0.0000 x2
Mg 0.3302 0.2483 0.6619 x4
Cu 0.5000 0.5000 0.0000 x1
Ir 0.1645 0.0000 0.3265 x2
Ir 0.1641 0.5000 0.3265 x2
Ir 0.5000 0.0000 0.0000 x1

Computed properties:
ΔE_f, eV/atom: -0.27
N(E_F), states/eV/f.u.: 6.36
Crystal system: monoclinic



No. 8
A plane-wave DFT calculation with PBE was carried out for a relaxed structure of MgCuIr2.

a b c (Å): 2.8569 4.4076 4.6012
angles (deg): 90.00 90.00 90.00
Space group Pmmm (No. 47)
Unique sites:
Mg 0.0000 0.0000 0.0000 x1
Cu 0.5000 0.0000 0.5000 x1
Ir 0.0000 0.5000 0.5000 x1
Ir 0.5000 0.5000 0.0000 x1

Computed properties:
ΔE_f, eV/atom: -0.07
N(E_F), states/eV/f.u.: 3.34
Crystal system: orthorhombic



No. 9
A plane-wave DFT calculation with PBE was carried out for a relaxed structure of MgCuIr2.

a b c (Å): 2.7778 2.7778 25.9612
angles (deg): 90.00 90.00 120.00
Space group R-3m (No. 166, hexagonal axes)
Unique sites:
Mg 0.0000 0.0000 0.0000 x3
Cu 0.0000 0.0000 0.5000 x3
Ir 0.0000 0.0000 0.2481 x6

Computed properties:
ΔE_f, eV/atom: -0.03
N(E_F), states/eV/f.u.: 5.35
Crystal system: trigonal



No. 10
A plane-wave DFT calculation with PBE was carried out for a relaxed structure of Mg6Cu5Ir.

a b c (Å): 4.3739 13.1501 6.4864
angles (deg): 90.00 90.00 90.00
Space group Cmmm (No. 65)
Unique sites:
Mg 0.0000 0.0000 0.2499 x4
Mg 0.0000 0.3346 0.2471 x8
Cu 0.0000 0.1628 0.0000 x4
Cu 0.0000 0.1708 0.5000 x4
Cu 0.0000 0.5000 0.5000 x2
Ir 0.0000 0.5000 0.0000 x2

Computed properties:
ΔE_f, eV/atom: -0.15
N(E_F), states/eV/f.u.: 4.52
Crystal system: orthorhombic



No. 11
A plane-wave DFT calculation with PBE was carried out for a relaxed structure of MgCuIr2.

a b c (Å): 2.7723 3.8757 5.4355
angles (deg): 90.00 90.00 90.00
Space group Pmm2 (No. 25)
Unique sites:
Mg 0.0000 0.0000 0.0000 x1
Cu 0.5000 0.5000 0.2397 x1
Ir 0.0000 0.0000 0.4991 x1
Ir 0.5000 0.5000 0.7199 x1

Computed properties:
ΔE_f, eV/atom: -0.06
N(E_F), states/eV/f.u.: 4.20
Crystal system: orthorhombic



No. 12
A plane-wave DFT calculation with PBE was carried out for a relaxed structure of MgCuIr2.

a b c (Å): 9.0973 2.8101 4.6358
angles (deg): 90.00 100.89 90.00
Space group Cm (No. 8)
Unique sites:
Mg 0.0000 0.0000 0.0000 x2
Cu 0.2567 0.5000 0.2105 x2
Ir 0.0021 0.5000 0.5026 x2
Ir 0.2433 0.0000 0.6919 x2

Computed properties:
ΔE_f, eV/atom: -0.09
N(E_F), states/eV/f.u.: 3.23
Crystal system: monoclinic



No. 13
A plane-wave DFT calculation with PBE was carried out for a relaxed structure of MgCu2MoIr.

a b c (Å): 4.7234 4.7234 4.6581
angles (deg): 90.00 90.00 90.00
Space group P4/mmm (No. 123)
Unique sites:
Mg 0.0000 0.0000 0.0000 x1
Cu 0.0000 0.5000 0.5000 x2
Mo 0.5000 0.5000 0.0000 x1
Ir 0.5000 0.5000 0.5000 x1

Computed properties:
ΔE_f, eV/atom: 0.95
N(E_F), states/eV/f.u.: 5.42
Crystal system: tetragonal



No. 14
A plane-wave DFT calculation with PBE was carried out for a relaxed structure of MgCuIr2N.

a b c (Å): 4.7723 4.7723 3.3803
angles (deg): 90.00 90.00 90.00
Space group P4/mmm (No. 123)
Unique sites:
Mg 0.0000 0.0000 0.0000 x1
Cu 0.5000 0.5000 0.5000 x1
Ir 0.0000 0.5000 0.5000 x2
N 0.5000 0.5000 0.0000 x1

Computed properties:
N(E_F), states/eV/f.u.: 4.98
Crystal system: tetragonal
VASP energy, eV/cell: -25.44



No. 15
A plane-wave DFT calculation with PBE was carried out for a relaxed structure of NaMgCu2Ir.

a b c (Å): 4.8016 4.8016 4.8627
angles (deg): 90.00 90.00 90.00
Space group P4/mmm (No. 123)
Unique sites:
Na 0.0000 0.0000 0.0000 x1
Mg 0.5000 0.5000 0.0000 x1
Cu 0.0000 0.5000 0.5000 x2
Ir 0.5000 0.5000 0.5000 x1

Computed properties:
ΔE_f, eV/atom: 0.43
N(E_F), states/eV/f.u.: 3.31
Crystal system: tetragonal



No. 16
A plane-wave DFT calculation with PBE was carried out for a relaxed structure of MgNbCuIr.

a b c (Å): 6.2962 6.2962 6.2962
angles (deg): 90.00 90.00 90.00
Space group F-43m (No. 216)
Unique sites:
Mg 0.0000 0.0000 0.0000 x4
Nb 0.0000 0.0000 0.5000 x4
Cu 0.2500 0.2500 0.2500 x4
Ir 0.2500 0.2500 0.7500 x4

Computed properties:
ΔE_f, eV/atom: -0.25
N(E_F), states/eV/f.u.: 5.13
Crystal system: cubic



No. 17
A plane-wave DFT calculation with PBE was carried out for a relaxed structure of NdMgCuIr.

a b c (Å): 6.7838 6.7838 6.7838
angles (deg): 90.00 90.00 90.00
Space group F-43m (No. 216)
Unique sites:
Nd 0.0000 0.0000 0.0000 x4
Mg 0.0000 0.0000 0.5000 x4
Cu 0.2500 0.2500 0.2500 x4
Ir 0.2500 0.2500 0.7500 x4

Computed properties:
ΔE_f, eV/atom: -0.28
N(E_F), states/eV/f.u.: 2.75
Crystal system: cubic



No. 18
A plane-wave DFT calculation with PBE was carried out for a relaxed structure of Mg2CuNiIr.

a b c (Å): 4.9051 4.9051 4.5125
angles (deg): 90.00 90.00 90.00
Space group P4/mmm (No. 123)
Unique sites:
Mg 0.0000 0.5000 0.0000 x2
Cu 0.0000 0.0000 0.5000 x1
Ni 0.5000 0.5000 0.5000 x1
Ir 0.5000 0.5000 0.0000 x1

Computed properties:
ΔE_f, eV/atom: 0.66
N(E_F), states/eV/f.u.: 4.00
Crystal system: tetragonal



No. 19
A plane-wave DFT calculation with PBE was carried out for a relaxed structure of MgNpCuIr.

a b c (Å): 6.6277 6.6277 6.6277
angles (deg): 90.00 90.00 90.00
Space group F-43m (No. 216)
Unique sites:
Mg 0.0000 0.0000 0.0000 x4
Np 0.0000 0.0000 0.5000 x4
Cu 0.2500 0.2500 0.2500 x4
Ir 0.2500 0.2500 0.7500 x4

Computed properties:
ΔE_f, eV/atom: -0.05
N(E_F), states/eV/f.u.: 8.88
Crystal system: cubic



No. 20
A plane-wave DFT calculation with PBE was carried out for a relaxed structure of Mg2CuIrO6.

a b c (Å): 5.1546 5.1546 13.7974
angles (deg): 90.00 90.00 120.00
Space group R3 (No. 146, hexagonal axes)
Unique sites:
Mg 0.0000 0.0000 0.0000 x3
Mg 0.0000 0.0000 0.4940 x3
Cu 0.0000 0.0000 0.2090 x3
Ir 0.0000 0.0000 0.6973 x3
O 0.0346 0.3431 0.7672 x9
O 0.0395 0.6727 0.2715 x9

Computed properties:
N(E_F), states/eV/f.u.: 7.00
E above lowest polymorph, eV per atom: 0.005
Crystal system: trigonal